DFT (PBE) results for TaZn2Fe after structural relaxation.

Computed properties:
Energy above the lowest structure with this stoichiometry, eV/atom: 0.116
Theoretical density, Mg/m³: 10.30
Calculated formation energy, eV/atom: 0.13

abc: 4.9836 4.9836 2.6416
angles: 90.12 90.12 115.43
Fractional coordinates of all 4 atoms:
Ta1 0.0000 0.0000 0.0000
Zn1 0.0000 0.5000 0.5000
Zn2 0.5000 0.0000 0.5000
Fe1 0.5000 0.5000 0.0000